# Mg2CuWO6 | Alexandria via LeMat-Bulk | PBE+U | optimized geometry
data_Mg2CuWO6
_chemical_formula_sum 'Mg2 Cu1 W1 O6'
_cell_length_a 5.154
_cell_length_b 5.239
_cell_length_c 5.701
_cell_angle_alpha 117.21
_cell_angle_beta 90.52
_cell_angle_gamma 118.91
_space_group_name_H-M_alt 'P 1'
_space_group_IT_number 1
_space_group_name_Hall 'P 1'
loop_
_atom_site_label
_atom_site_type_symbol
_atom_site_fract_x
_atom_site_fract_y
_atom_site_fract_z
_atom_site_occupancy
Mg1 Mg 0.000 0.000 0.000 1
Mg2 Mg 0.497 0.992 0.480 1
Cu1 Cu 0.261 0.494 0.745 1
W1 W 0.796 0.593 0.389 1
O1 O 0.065 0.486 0.215 1
O2 O 0.179 0.065 0.679 1
O3 O 0.424 0.160 0.223 1
O4 O 0.608 0.800 0.682 1
O5 O 0.722 0.785 0.208 1
O6 O 0.894 0.492 0.679 1
# - ρ: 5.7 Mg/m³
# - Excess energy over the best structure of this formula in the dataset: 11 meV/atom
# - DFT total energy: -6.386 eV per atom
# - Magnetic moment: 1.0 μB per cell